(w)
# ScIn2Te2 | Alexandria via LeMat-Bulk | PBE-GGA | optimized geometry
data_ScIn2Te2
_cell_length_a 7.745
_cell_length_b 7.745
_cell_length_c 5.070
_cell_angle_alpha 90.00
_cell_angle_beta 90.00
_cell_angle_gamma 90.00
_symmetry_space_group_name_H-M 'P 4/m b m'
_symmetry_Int_Tables_number 127
_symmetry_space_group_name_Hall '-P 4 2ab'
loop_
_atom_site_label
_atom_site_type_symbol
_atom_site_fract_x
_atom_site_fract_y
_atom_site_fract_z
Sc1 Sc 0.000 0.000 0.000
In1 In 0.148 0.352 0.500
Te1 Te 0.172 0.672 0.000
# Total moment ... 0.0000 μB per atom
# Theoretical density ... 5.8 g/cm³
# DOS at the Fermi energy ... 0.889 states/eV per atom



(x)
# ScIn2Te2 | Alexandria via LeMat-Bulk | PBE-GGA | optimized geometry
data_ScIn2Te2
_cell_length_a 8.045
_cell_length_b 8.045
_cell_length_c 4.352
_cell_angle_alpha 90.00
_cell_angle_beta 90.00
_cell_angle_gamma 90.00
_symmetry_space_group_name_H-M 'P 4/m b m'
_symmetry_Int_Tables_number 127
_symmetry_space_group_name_Hall '-P 4 2ab'
loop_
_atom_site_label
_atom_site_type_symbol
_atom_site_fract_x
_atom_site_fract_y
_atom_site_fract_z
Sc1 Sc 0.000 0.000 0.000
In1 In 0.128 0.372 0.000
Te1 Te 0.188 0.688 0.500
# Total moment ... 0.1183 μB per atom
# Theoretical density ... 6.2 g/cm³
# DOS at the Fermi energy ... 0.796 states/eV per atom



Relative energy table, unit meV/atom: (w) 0; (x) 240



(w)
# Th2Sc6In | Alexandria via LeMat-Bulk | PBE-GGA | optimized geometry
data_Th2Sc6In
_cell_length_a 15.806
_cell_length_b 9.119
_cell_length_c 3.213
_cell_angle_alpha 90.00
_cell_angle_beta 90.06
_cell_angle_gamma 90.00
_symmetry_space_group_name_H-M 'C 1 2/m 1'
_symmetry_Int_Tables_number 12
loop_
_symmetry_equiv_pos_as_xyz
'x,y,z'
'-x,-y,-z'
'-x,y,-z'
'x,-y,z'
'x+1/2,y+1/2,z'
'-x+1/2,-y+1/2,-z'
'-x+1/2,y+1/2,-z'
'x+1/2,-y+1/2,z'
loop_
_atom_site_label
_atom_site_type_symbol
_atom_site_fract_x
_atom_site_fract_y
_atom_site_fract_z
Th1 Th 0.167 0.000 0.000
Sc1 Sc 0.000 0.173 0.500
Sc2 Sc 0.163 0.337 0.498
In1 In 0.000 0.500 0.000
# Total moment ... 0.0001 μB per atom
# Theoretical density ... 6.1 g/cm³
# DOS at the Fermi energy ... 1.678 states/eV per atom



(x)
# Th2Sc6In | Alexandria via LeMat-Bulk | PBE-GGA | optimized geometry
data_Th2Sc6In
_cell_length_a 12.286
_cell_length_b 11.003
_cell_length_c 8.241
_cell_angle_alpha 90.00
_cell_angle_beta 122.74
_cell_angle_gamma 90.00
_symmetry_space_group_name_H-M 'C 1 2/c 1'
_symmetry_Int_Tables_number 15
loop_
_symmetry_equiv_pos_as_xyz
'x,y,z'
'-x,-y,-z'
'-x,y,-z+1/2'
'x,-y,z+1/2'
'x+1/2,y+1/2,z'
'-x+1/2,-y+1/2,-z'
'-x+1/2,y+1/2,-z+1/2'
'x+1/2,-y+1/2,z+1/2'
loop_
_atom_site_label
_atom_site_type_symbol
_atom_site_fract_x
_atom_site_fract_y
_atom_site_fract_z
Th1 Th 0.177 0.089 0.412
Sc1 Sc 0.026 0.138 0.949
Sc2 Sc 0.100 0.412 0.689
Sc3 Sc 0.224 0.330 0.141
In1 In 0.000 0.341 0.250
# Total moment ... 0.0000 μB per atom
# Theoretical density ... 6.0 g/cm³
# DOS at the Fermi energy ... 1.458 states/eV per atom



Relative energy table, unit meV/atom: (w) 0; (x) 43



(w)
# ThSc3In | Alexandria via LeMat-Bulk | PBE-GGA | optimized geometry
data_ThSc3In
_cell_length_a 10.489
_cell_length_b 3.443
_cell_length_c 14.319
_cell_angle_alpha 90.00
_cell_angle_beta 90.00
_cell_angle_gamma 90.00
_symmetry_space_group_name_H-M 'P n m a'
_symmetry_Int_Tables_number 62
loop_
_symmetry_equiv_pos_as_xyz
'x,y,z'
'-x,-y,-z'
'-x+1/2,-y,z+1/2'
'x+1/2,y,-z+1/2'
'x+1/2,-y+1/2,-z+1/2'
'-x+1/2,y+1/2,z+1/2'
'-x,y+1/2,-z'
'x,-y+1/2,z'
loop_
_atom_site_label
_atom_site_type_symbol
_atom_site_fract_x
_atom_site_fract_y
_atom_site_fract_z
Th1 Th 0.143 0.250 0.025
Sc1 Sc 0.101 0.250 0.430
Sc2 Sc 0.118 0.750 0.237
Sc3 Sc 0.136 0.750 0.823
In1 In 0.123 0.250 0.642
# Total moment ... 0.0000 μB per atom
# Theoretical density ... 6.2 g/cm³
# DOS at the Fermi energy ... 1.405 states/eV per atom



(x)
# ThSc3In | Alexandria via LeMat-Bulk | PBE-GGA | optimized geometry
data_ThSc3In
_cell_length_a 5.411
_cell_length_b 17.057
_cell_length_c 5.409
_cell_angle_alpha 90.00
_cell_angle_beta 90.00
_cell_angle_gamma 90.00
_symmetry_space_group_name_H-M 'C m c m'
_symmetry_Int_Tables_number 63
_symmetry_space_group_name_Hall '-C 2c 2'
loop_
_atom_site_label
_atom_site_type_symbol
_atom_site_fract_x
_atom_site_fract_y
_atom_site_fract_z
Th1 Th 0.000 0.147 0.250
Sc1 Sc 0.000 0.048 0.750
Sc2 Sc 0.000 0.251 0.750
Sc3 Sc 0.000 0.452 0.750
In1 In 0.000 0.353 0.250
# Total moment ... 0.0000 μB per atom
# Theoretical density ... 6.4 g/cm³
# DOS at the Fermi energy ... 1.631 states/eV per atom



Relative energy table, unit meV/atom: (w) 0; (x) 70



(w)
# ScTiIn2 | Alexandria via LeMat-Bulk | PBE-GGA | optimized geometry
data_ScTiIn2
_cell_length_a 4.389
_cell_length_b 4.389
_cell_length_c 4.344
_cell_angle_alpha 90.00
_cell_angle_beta 90.00
_cell_angle_gamma 90.00
_symmetry_space_group_name_H-M 'P 4/m m m'
_symmetry_Int_Tables_number 123
_symmetry_space_group_name_Hall '-P 4 2'
loop_
_atom_site_label
_atom_site_type_symbol
_atom_site_fract_x
_atom_site_fract_y
_atom_site_fract_z
Sc1 Sc 0.000 0.000 0.000
Ti1 Ti 0.500 0.500 0.000
In1 In 0.000 0.500 0.500
# Total moment ... 0.3984 μB per atom
# Theoretical density ... 6.4 g/cm³
# DOS at the Fermi energy ... 0.522 states/eV per atom



(x)
# ScTiIn2 | Alexandria via LeMat-Bulk | PBE-GGA | optimized geometry
data_ScTiIn2
_cell_length_a 7.803
_cell_length_b 7.803
_cell_length_c 6.072
_cell_angle_alpha 90.00
_cell_angle_beta 90.00
_cell_angle_gamma 90.00
_symmetry_space_group_name_H-M 'I -4 2 d'
_symmetry_Int_Tables_number 122
_symmetry_space_group_name_Hall 'I -4 2bw'
loop_
_atom_site_label
_atom_site_type_symbol
_atom_site_fract_x
_atom_site_fract_y
_atom_site_fract_z
Sc1 Sc 0.000 0.000 0.000
Ti1 Ti 0.000 0.000 0.500
In1 In 0.238 0.250 0.625
# Total moment ... 0.2431 μB per atom
# Theoretical density ... 5.8 g/cm³
# DOS at the Fermi energy ... 0.863 states/eV per atom



Relative energy table, unit meV/atom: (w) 0; (x) 381



(w)
# ScTiIn2 | Alexandria via LeMat-Bulk | PBE-GGA | optimized geometry
data_ScTiIn2
_cell_length_a 3.606
_cell_length_b 3.606
_cell_length_c 6.464
_cell_angle_alpha 90.00
_cell_angle_beta 90.00
_cell_angle_gamma 90.00
_symmetry_space_group_name_H-M 'P 4/m m m'
_symmetry_Int_Tables_number 123
_symmetry_space_group_name_Hall '-P 4 2'
loop_
_atom_site_label
_atom_site_type_symbol
_atom_site_fract_x
_atom_site_fract_y
_atom_site_fract_z
Sc1 Sc 0.000 0.000 0.000
Ti1 Ti 0.000 0.000 0.500
In1 In 0.500 0.500 0.263
# Total moment ... 0.1951 μB per atom
# Theoretical density ... 6.4 g/cm³
# DOS at the Fermi energy ... 0.711 states/eV per atom



(x)
# ScTiIn2 | Alexandria via LeMat-Bulk | PBE-GGA | optimized geometry
data_ScTiIn2
_cell_length_a 6.953
_cell_length_b 6.953
_cell_length_c 6.953
_cell_angle_alpha 90.00
_cell_angle_beta 90.00
_cell_angle_gamma 90.00
_symmetry_space_group_name_H-M 'F m -3 m'
_symmetry_Int_Tables_number 225
_symmetry_space_group_name_Hall '-F 4 2 3'
loop_
_atom_site_label
_atom_site_type_symbol
_atom_site_fract_x
_atom_site_fract_y
_atom_site_fract_z
Sc1 Sc 0.000 0.000 0.000
Ti1 Ti 0.000 0.000 0.500
In1 In 0.250 0.250 0.250
# Total moment ... 0.2957 μB per atom
# Theoretical density ... 6.4 g/cm³
# DOS at the Fermi energy ... 1.034 states/eV per atom



Relative energy table, unit meV/atom: (w) 0; (x) 16



(w)
# ScTiIn | Alexandria via LeMat-Bulk | PBE-GGA | optimized geometry
data_ScTiIn
_cell_length_a 10.154
_cell_length_b 10.413
_cell_length_c 2.987
_cell_angle_alpha 90.00
_cell_angle_beta 90.00
_cell_angle_gamma 90.00
_symmetry_space_group_name_H-M 'C m m m'
_symmetry_Int_Tables_number 65
_symmetry_space_group_name_Hall '-C 2 2'
loop_
_atom_site_label
_atom_site_type_symbol
_atom_site_fract_x
_atom_site_fract_y
_atom_site_fract_z
Sc1 Sc 0.235 0.000 0.000
Ti1 Ti 0.000 0.000 0.500
Ti2 Ti 0.000 0.500 0.000
In1 In 0.000 0.263 0.500
# Total moment ... 0.3581 μB per atom
# Theoretical density ... 4.4 g/cm³
# DOS at the Fermi energy ... 1.409 states/eV per atom



(x)
# ScTiIn | Alexandria via LeMat-Bulk | PBE-GGA | optimized geometry
data_ScTiIn
_cell_length_a 3.357
_cell_length_b 4.833
_cell_length_c 7.859
_cell_angle_alpha 90.00
_cell_angle_beta 102.33
_cell_angle_gamma 90.00
_symmetry_space_group_name_H-M 'P 1 21/m 1'
_symmetry_Int_Tables_number 11
loop_
_symmetry_equiv_pos_as_xyz
'x,y,z'
'-x,-y,-z'
'-x,y+1/2,-z'
'x,-y+1/2,z'
loop_
_atom_site_label
_atom_site_type_symbol
_atom_site_fract_x
_atom_site_fract_y
_atom_site_fract_z
Sc1 Sc 0.075 0.250 0.150
Ti1 Ti 0.263 0.750 0.525
In1 In 0.391 0.250 0.783
# Total moment ... 0.0004 μB per atom
# Theoretical density ... 5.5 g/cm³
# DOS at the Fermi energy ... 1.170 states/eV per atom



(y)
# ScTiIn | Alexandria via LeMat-Bulk | PBE-GGA | optimized geometry
data_ScTiIn
_cell_length_a 4.8797
_cell_length_b 4.8797
_cell_length_c 2.9968
_cell_angle_alpha 90.00
_cell_angle_beta 90.00
_cell_angle_gamma 120.00
_symmetry_space_group_name_H-M 'P -6 m 2'
_symmetry_Int_Tables_number 187
_symmetry_space_group_name_Hall 'P -6 2'
loop_
_atom_site_label
_atom_site_type_symbol
_atom_site_fract_x
_atom_site_fract_y
_atom_site_fract_z
Sc1 Sc 0.0000 0.0000 0.0000
Ti1 Ti 0.3333 0.6667 0.0000
In1 In 0.6667 0.3333 0.5000
# Total moment ... 0.6799 μB per atom
# Theoretical density ... 5.6 g/cm³
# DOS at the Fermi energy ... 0.545 states/eV per atom



Relative energy table, unit meV/atom: (w) 709; (x) 0; (y) 179



(w)
# Sc2TiIn2 | Alexandria via LeMat-Bulk | PBE-GGA | optimized geometry
data_Sc2TiIn2
_cell_length_a 7.721
_cell_length_b 7.721
_cell_length_c 3.831
_cell_angle_alpha 90.00
_cell_angle_beta 90.00
_cell_angle_gamma 90.00
_symmetry_space_group_name_H-M 'P 4/m b m'
_symmetry_Int_Tables_number 127
_symmetry_space_group_name_Hall '-P 4 2ab'
loop_
_atom_site_label
_atom_site_type_symbol
_atom_site_fract_x
_atom_site_fract_y
_atom_site_fract_z
Sc1 Sc 0.171 0.329 0.000
Ti1 Ti 0.000 0.000 0.500
In1 In 0.133 0.633 0.500
# Total moment ... 0.5254 μB per atom
# Theoretical density ... 5.3 g/cm³
# DOS at the Fermi energy ... 0.901 states/eV per atom



(x)
# Sc2TiIn2 | Alexandria via LeMat-Bulk | PBE-GGA | optimized geometry
data_Sc2TiIn2
_cell_length_a 8.440
_cell_length_b 8.440
_cell_length_c 3.227
_cell_angle_alpha 90.00
_cell_angle_beta 90.00
_cell_angle_gamma 90.00
_symmetry_space_group_name_H-M 'P 4/m b m'
_symmetry_Int_Tables_number 127
_symmetry_space_group_name_Hall '-P 4 2ab'
loop_
_atom_site_label
_atom_site_type_symbol
_atom_site_fract_x
_atom_site_fract_y
_atom_site_fract_z
Sc1 Sc 0.124 0.376 0.000
Ti1 Ti 0.000 0.000 0.000
In1 In 0.176 0.676 0.500
# Total moment ... 0.3826 μB per atom
# Theoretical density ... 5.3 g/cm³
# DOS at the Fermi energy ... 1.326 states/eV per atom



Relative energy table, unit meV/atom: (w) 0; (x) 172



(w)
# ScTlIn3 | Alexandria via LeMat-Bulk | PBE-GGA | optimized geometry
data_ScTlIn3
_cell_length_a 5.635
_cell_length_b 5.635
_cell_length_c 5.635
_cell_angle_alpha 90.00
_cell_angle_beta 90.00
_cell_angle_gamma 90.00
_symmetry_space_group_name_H-M 'P m -3 m'
_symmetry_Int_Tables_number 221
_symmetry_space_group_name_Hall '-P 4 2 3'
loop_
_atom_site_label
_atom_site_type_symbol
_atom_site_fract_x
_atom_site_fract_y
_atom_site_fract_z
Sc1 Sc 0.000 0.000 0.000
Tl1 Tl 0.500 0.500 0.500
In1 In 0.000 0.000 0.500
# Total moment ... 0.0000 μB per atom
# Theoretical density ... 5.5 g/cm³
# DOS at the Fermi energy ... 1.051 states/eV per atom



(x)
# ScTlIn3 | Alexandria via LeMat-Bulk | PBE-GGA | optimized geometry
data_ScTlIn3
_cell_length_a 5.590
_cell_length_b 5.590
_cell_length_c 5.590
_cell_angle_alpha 90.00
_cell_angle_beta 90.00
_cell_angle_gamma 90.00
_symmetry_space_group_name_H-M 'P m -3 m'
_symmetry_Int_Tables_number 221
_symmetry_space_group_name_Hall '-P 4 2 3'
loop_
_atom_site_label
_atom_site_type_symbol
_atom_site_fract_x
_atom_site_fract_y
_atom_site_fract_z
Sc1 Sc 0.000 0.000 0.000
Tl1 Tl 0.500 0.500 0.500
In1 In 0.000 0.500 0.500
# Total moment ... 0.0000 μB per atom
# Theoretical density ... 5.6 g/cm³
# DOS at the Fermi energy ... 0.870 states/eV per atom



Relative energy table, unit meV/atom: (w) 0; (x) 319